# 1
# GGA-PBE BaMnIn2, optimized geometry
# - ΔH_f (0 K): 185.9 meV per atom
data_BaMnIn2
_space_group_name_H-M_alt 'F -4 3 m'
_space_group_IT_number 216
_space_group_name_Hall 'F -4 2 3'
_cell_length_a 7.697
_cell_length_b 7.697
_cell_length_c 7.697
_cell_angle_alpha 90.00
_cell_angle_beta 90.00
_cell_angle_gamma 90.00
loop_
_atom_site_label
_atom_site_type_symbol
_atom_site_fract_x
_atom_site_fract_y
_atom_site_fract_z
Ba1 Ba 0.000 0.000 0.000
Mn1 Mn 0.250 0.250 0.750
In1 In 0.000 0.000 0.500
In2 In 0.250 0.250 0.250

***

# 2
# GGA-PBE Li2Nb2NiS6, optimized geometry
# - Formation energy without anion corrections: -0.898 eV per atom
data_Li2Nb2NiS6
_space_group_name_H-M_alt 'C 1 2/m 1'
_space_group_IT_number 12
_space_group_name_Hall '-C 2y'
_cell_length_a 5.954
_cell_length_b 10.551
_cell_length_c 6.494
_cell_angle_alpha 90.00
_cell_angle_beta 105.56
_cell_angle_gamma 90.00
loop_
_atom_site_label
_atom_site_type_symbol
_atom_site_fract_x
_atom_site_fract_y
_atom_site_fract_z
Li1 Li 0.000 0.180 0.000
Nb1 Nb 0.000 0.360 0.500
Ni1 Ni 0.000 0.000 0.500
S1 S 0.224 0.168 0.719
S2 S 0.244 0.000 0.245

***

# 3
# GGA-PBE Rb2TlRh3F12, optimized geometry
# - Formation energy without anion corrections: -1.885 eV per atom
data_Rb2TlRh3F12
_space_group_name_H-M_alt 'R -3 m'
_space_group_IT_number 166
_space_group_name_Hall '-R 3 2"'
_cell_length_a 7.4757
_cell_length_b 7.4757
_cell_length_c 19.3770
_cell_angle_alpha 90.00
_cell_angle_beta 90.00
_cell_angle_gamma 120.00
loop_
_atom_site_label
_atom_site_type_symbol
_atom_site_fract_x
_atom_site_fract_y
_atom_site_fract_z
Rb1 Rb 0.0000 0.0000 0.1244
Tl1 Tl 0.0000 0.0000 0.5000
Rh1 Rh 0.0000 0.5000 0.0000
F1 F 0.0496 0.5248 0.8984
F2 F 0.0610 0.5305 0.3138

***

# 4
# GGA-PBE BeRe2Tc2, optimized geometry
# - E above lowest polymorph: 282 meV per atom
# - ΔH_f (0 K): 779.8 meV per atom
data_BeRe2Tc2
_space_group_name_H-M_alt 'I 4/m m m'
_space_group_IT_number 139
_space_group_name_Hall '-I 4 2'
_cell_length_a 3.846
_cell_length_b 3.846
_cell_length_c 11.467
_cell_angle_alpha 90.00
_cell_angle_beta 90.00
_cell_angle_gamma 90.00
loop_
_atom_site_label
_atom_site_type_symbol
_atom_site_fract_x
_atom_site_fract_y
_atom_site_fract_z
Be1 Be 0.000 0.000 0.000
Re1 Re 0.000 0.500 0.250
Tc1 Tc 0.000 0.000 0.396

***

# 5
# GGA-PBE TmTh2PN5, optimized geometry
# - Formation energy without anion corrections: -0.947 eV per atom
data_TmTh2PN5
_space_group_name_H-M_alt 'P 4/m b m'
_space_group_IT_number 127
_space_group_name_Hall '-P 4 2ab'
_cell_length_a 6.705
_cell_length_b 6.705
_cell_length_c 5.594
_cell_angle_alpha 90.00
_cell_angle_beta 90.00
_cell_angle_gamma 90.00
loop_
_atom_site_label
_atom_site_type_symbol
_atom_site_fract_x
_atom_site_fract_y
_atom_site_fract_z
Tm1 Tm 0.000 0.000 0.000
Th1 Th 0.178 0.322 0.500
P1 P 0.000 0.500 0.000
N1 N 0.000 0.000 0.500
N2 N 0.132 0.632 0.219

***

# 6
# GGA-PBE Ac3Sm2Y4, optimized geometry
# - ΔH_f (0 K): 111.0 meV per atom
data_Ac3Sm2Y4
_space_group_name_H-M_alt 'C 1 2/m 1'
_space_group_IT_number 12
_space_group_name_Hall '-C 2y'
_cell_length_a 12.278
_cell_length_b 5.900
_cell_length_c 9.518
_cell_angle_alpha 90.00
_cell_angle_beta 104.66
_cell_angle_gamma 90.00
loop_
_atom_site_label
_atom_site_type_symbol
_atom_site_fract_x
_atom_site_fract_y
_atom_site_fract_z
Ac1 Ac 0.000 0.000 0.000
Ac2 Ac 0.116 0.000 0.682
Sm1 Sm 0.072 0.500 0.293
Y1 Y 0.177 0.500 0.958
Y2 Y 0.230 0.000 0.369

***

# 7
# GGA-PBE CrPPd2Se, optimized geometry
# - Formation energy without anion corrections: 0.294 eV per atom
data_CrPPd2Se
_space_group_name_H-M_alt 'P 4/m m m'
_space_group_IT_number 123
_space_group_name_Hall '-P 4 2'
_cell_length_a 4.423
_cell_length_b 4.423
_cell_length_c 5.177
_cell_angle_alpha 90.00
_cell_angle_beta 90.00
_cell_angle_gamma 90.00
loop_
_atom_site_label
_atom_site_type_symbol
_atom_site_fract_x
_atom_site_fract_y
_atom_site_fract_z
Cr1 Cr 0.000 0.000 0.000
P1 P 0.500 0.500 0.500
Pd1 Pd 0.000 0.500 0.500
Se1 Se 0.500 0.500 0.000

***

# 8
# GGA-PBE CoH, optimized geometry
# - Total energy: -9.71 eV per formula unit
data_CoH
_space_group_name_H-M_alt 'P m -3 n'
_space_group_IT_number 223
_space_group_name_Hall '-P 4n 2 3'
_cell_length_a 4.737
_cell_length_b 4.737
_cell_length_c 4.737
_cell_angle_alpha 90.00
_cell_angle_beta 90.00
_cell_angle_gamma 90.00
loop_
_atom_site_label
_atom_site_type_symbol
_atom_site_fract_x
_atom_site_fract_y
_atom_site_fract_z
Co1 Co 0.000 0.250 0.500
H1 H 0.000 0.500 0.250

***

# 9
# GGA-PBE LiGd2Hg, optimized geometry
# - E above lowest polymorph: 0 meV per atom
# - ΔH_f (0 K): -244.7 meV per atom
data_LiGd2Hg
_space_group_name_H-M_alt 'P 4/m m m'
_space_group_IT_number 123
_space_group_name_Hall '-P 4 2'
_cell_length_a 5.148
_cell_length_b 5.148
_cell_length_c 3.889
_cell_angle_alpha 90.00
_cell_angle_beta 90.00
_cell_angle_gamma 90.00
loop_
_atom_site_label
_atom_site_type_symbol
_atom_site_fract_x
_atom_site_fract_y
_atom_site_fract_z
Li1 Li 0.000 0.000 0.000
Gd1 Gd 0.000 0.500 0.500
Hg1 Hg 0.500 0.500 0.000

***

# 10
# GGA-PBE GeTe2Os, optimized geometry
# - Formation energy without anion corrections: 0.446 eV per atom
data_GeTe2Os
_space_group_name_H-M_alt 'R -3 m'
_space_group_IT_number 166
_space_group_name_Hall '-R 3 2"'
_cell_length_a 3.8339
_cell_length_b 3.8339
_cell_length_c 26.7078
_cell_angle_alpha 90.00
_cell_angle_beta 90.00
_cell_angle_gamma 120.00
loop_
_atom_site_label
_atom_site_type_symbol
_atom_site_fract_x
_atom_site_fract_y
_atom_site_fract_z
Ge1 Ge 0.0000 0.0000 0.0000
Te1 Te 0.0000 0.0000 0.1119
Os1 Os 0.0000 0.0000 0.5000

***

# 11
# GGA-PBE CoRe2Br, optimized geometry
# - E above lowest polymorph: 1080 meV per atom
# - Formation energy without anion corrections: 1.620 eV per atom
data_CoRe2Br
_space_group_name_H-M_alt 'I -4 2 d'
_space_group_IT_number 122
_space_group_name_Hall 'I -4 2bw'
_cell_length_a 5.497
_cell_length_b 5.497
_cell_length_c 10.603
_cell_angle_alpha 90.00
_cell_angle_beta 90.00
_cell_angle_gamma 90.00
loop_
_atom_site_label
_atom_site_type_symbol
_atom_site_fract_x
_atom_site_fract_y
_atom_site_fract_z
Co1 Co 0.000 0.000 0.000
Re1 Re 0.212 0.250 0.125
Br1 Br 0.000 0.000 0.500

***

# 12
# GGA-PBE La2FePt, optimized geometry
# - ΔH_f (0 K): -256.8 meV per atom
data_La2FePt
_space_group_name_H-M_alt 'P 4 m m'
_space_group_IT_number 99
_space_group_name_Hall 'P 4 -2'
_cell_length_a 4.213
_cell_length_b 4.213
_cell_length_c 5.910
_cell_angle_alpha 90.00
_cell_angle_beta 90.00
_cell_angle_gamma 90.00
loop_
_atom_site_label
_atom_site_type_symbol
_atom_site_fract_x
_atom_site_fract_y
_atom_site_fract_z
La1 La 0.000 0.000 0.000
La2 La 0.500 0.500 0.497
Fe1 Fe 0.000 0.000 0.500
Pt1 Pt 0.500 0.500 0.997